A relaxed structure of SmZn2Ru, computed with PBE.

POSCAR file:
```
SmZn2Ru
1.0
6.6043 0.0000 0.0000
0.0000 6.6043 0.0000
0.0000 0.0000 6.6043
Sm Zn Ru
4 8 4
direct
0.0000 0.0000 0.0000 Sm
0.0000 0.5000 0.5000 Sm
0.5000 0.0000 0.5000 Sm
0.5000 0.5000 0.0000 Sm
0.2500 0.2500 0.2500 Zn
0.2500 0.2500 0.7500 Zn
0.2500 0.7500 0.2500 Zn
0.2500 0.7500 0.7500 Zn
0.7500 0.2500 0.2500 Zn
0.7500 0.2500 0.7500 Zn
0.7500 0.7500 0.2500 Zn
0.7500 0.7500 0.7500 Zn
0.0000 0.0000 0.5000 Ru
0.0000 0.5000 0.0000 Ru
0.5000 0.0000 0.0000 Ru
0.5000 0.5000 0.5000 Ru
```

Calculated values
For the uncorrected energy, the calculation gives -4.215 eV per atom. The density of states at the Fermi level is 1.1142 states/eV per atom. The volume comes out at 18.00 A^3/atom.